[1]
Computed, not measured: crystalline Ti2H2Rh at its relaxed geometry at the PBE level of DFT.

POSCAR file:
```
Ti2H2Rh
1.0
6.053 0.000 0.000
0.000 6.053 0.000
0.000 0.000 2.813
H Rh Ti
4 2 4
direct
0.384 0.884 0.000 H
0.884 0.616 0.000 H
0.616 0.116 0.000 H
0.116 0.384 0.000 H
0.000 0.000 0.000 Rh
0.500 0.500 0.000 Rh
0.157 0.657 0.500 Ti
0.657 0.843 0.500 Ti
0.843 0.343 0.500 Ti
0.343 0.157 0.500 Ti
```

Values from the calculation:
* relative energy among the computed polymorphs: 0.379 eV/atom
* V: 10.3 Å³ per atom

***

[2]
Computed, not measured: crystalline TiHRh3 at its relaxed geometry at the PBE level of DFT.

POSCAR file:
```
TiHRh3
1.0
5.540 0.003 0.001
0.000 5.546 0.001
2.775 -2.773 3.923
H Rh Ti
2 6 2
direct
0.055 0.215 0.700 H
0.860 0.614 0.497 H
0.760 0.475 0.219 Rh
0.760 0.992 0.736 Rh
0.269 0.975 0.219 Rh
0.760 0.475 0.736 Rh
0.269 0.974 0.727 Rh
0.270 0.482 0.726 Rh
0.290 0.470 0.210 Ti
0.768 0.978 0.225 Ti
```

Values from the calculation:
* relative energy among the computed polymorphs: 0.035 eV/atom
* V: 12.1 Å³ per atom

***

[3]
Computed, not measured: crystalline TiHRh3 at its relaxed geometry at the PBE level of DFT.

POSCAR file:
```
TiHRh3
1.0
2.791 0.000 0.000
0.000 2.711 -5.756
0.000 2.711 5.756
H Rh Ti
1 3 1
direct
0.000 0.458 0.542 H
0.500 0.170 0.333 Rh
0.500 0.667 0.830 Rh
0.000 0.252 0.748 Rh
0.500 0.081 0.919 Ti
```

Values from the calculation:
* relative energy among the computed polymorphs: 0.888 eV/atom
* V: 17.4 Å³ per atom

***

[4]
Computed, not measured: crystalline Ti2HRh at its relaxed geometry at the PBE level of DFT.

POSCAR file:
```
Ti2HRh
1.0
0.000 2.996 2.996
2.996 0.000 2.996
2.996 2.996 0.000
H Rh Ti
1 1 2
direct
0.000 0.000 0.000 H
0.500 0.500 0.500 Rh
0.250 0.250 0.250 Ti
0.750 0.750 0.750 Ti
```

Values from the calculation:
* calculated total energy: -6.69 eV per atom
* V: 13.4 Å³ per atom

***

[5]
Computed, not measured: crystalline TiHRh at its relaxed geometry at the PBE level of DFT.

POSCAR file:
```
TiHRh
1.0
-1.179 -1.666 -2.267
2.506 -1.739 -0.025
-2.302 -0.694 3.759
H Rh Ti
1 1 1
direct
0.021 0.021 0.043 H
0.255 0.255 0.511 Rh
0.573 0.573 0.146 Ti
```

Values from the calculation:
* relative energy among the computed polymorphs: 0.224 eV/atom
* V: 12.1 Å³ per atom

***

[6]
Computed, not measured: crystalline TiHRh3 at its relaxed geometry at the PBE level of DFT.

POSCAR file:
```
TiHRh3
1.0
4.676 0.000 0.000
0.000 4.676 0.000
2.338 2.338 8.528
H Rh Ti
2 6 2
direct
0.634 0.134 0.732 H
0.866 0.366 0.268 H
0.121 0.876 0.248 Rh
0.124 0.879 0.752 Rh
0.124 0.368 0.752 Rh
0.632 0.876 0.248 Rh
0.355 0.355 0.291 Rh
0.645 0.645 0.709 Rh
0.000 0.000 0.000 Ti
0.250 0.750 0.500 Ti
```

Values from the calculation:
* relative energy among the computed polymorphs: 1.335 eV/atom
* V: 18.6 Å³ per atom

***

[7]
Computed, not measured: crystalline Ti2H2Rh at its relaxed geometry at the PBE level of DFT.

POSCAR file:
```
Ti2H2Rh
1.0
-2.742 -0.406 1.016
1.093 -0.929 2.580
-0.894 4.854 3.815
H Rh Ti
2 1 2
direct
0.750 0.250 0.500 H
0.250 0.750 0.500 H
0.000 0.000 0.000 Rh
0.355 0.355 0.289 Ti
0.645 0.645 0.711 Ti
```

Values from the calculation:
* relative energy among the computed polymorphs: 0.000 eV/atom
* V: 10.2 Å³ per atom

***

[8]
Computed, not measured: crystalline Ti2H2Rh at its relaxed geometry at the PBE level of DFT.

POSCAR file:
```
Ti2H2Rh
1.0
-0.659 -0.605 -2.786
2.540 -1.424 -0.291
-2.738 -5.250 1.787
Ti H Rh
2 2 1
direct
0.500 0.500 0.724 Ti
0.500 0.500 0.276 Ti
0.500 0.000 0.500 H
0.000 0.500 0.500 H
0.000 0.000 0.000 Rh
```

Values from the calculation:
* relative energy among the computed polymorphs: 0.150 eV/atom
* V: 10.6 Å³ per atom

***

[9]
Computed, not measured: crystalline TiH2Rh2 at its relaxed geometry at the PBE level of DFT.

POSCAR file:
```
TiH2Rh2
1.0
1.445 -2.503 0.000
1.445 2.503 0.000
0.000 0.000 6.757
Ti H Rh
1 2 2
direct
0.000 0.000 0.500 Ti
0.333 0.667 0.299 H
0.667 0.333 0.701 H
0.667 0.333 0.176 Rh
0.333 0.667 0.824 Rh
```

Values from the calculation:
* relative energy among the computed polymorphs: 0.058 eV/atom
* V: 9.8 Å³ per atom

***

[10]
Computed, not measured: crystalline TiHRh3 at its relaxed geometry at the PBE level of DFT.

POSCAR file:
```
TiHRh3
1.0
-3.280 -2.737 1.701
1.271 -1.240 -4.242
3.590 0.387 2.847
H Rh Ti
1 3 1
direct
0.846 0.846 0.846 H
0.757 0.153 0.757 Rh
0.153 0.757 0.757 Rh
0.757 0.757 0.153 Rh
0.362 0.362 0.362 Ti
```

Values from the calculation:
* relative energy among the computed polymorphs: 0.470 eV/atom
* V: 13.2 Å³ per atom

***

[11]
Computed, not measured: crystalline TiHRh3 at its relaxed geometry at the PBE level of DFT.

POSCAR file:
```
TiHRh3
1.0
5.575 0.007 0.000
2.733 4.804 0.001
2.816 1.577 4.505
H Rh Ti
2 6 2
direct
0.022 0.779 0.591 H
0.473 0.663 0.371 H
0.817 0.522 0.801 Rh
0.817 0.030 0.801 Rh
0.315 0.041 0.294 Rh
0.841 0.518 0.293 Rh
0.320 0.026 0.799 Rh
0.315 0.521 0.294 Rh
0.332 0.510 0.820 Ti
0.809 0.039 0.283 Ti
```

Values from the calculation:
* relative energy among the computed polymorphs: 0.054 eV/atom
* V: 12.1 Å³ per atom

***

[12]
Computed, not measured: crystalline Ti2H3Rh2 at its relaxed geometry at the PBE level of DFT.

POSCAR file:
```
Ti2H3Rh2
1.0
-0.098 -2.874 -0.005
2.301 1.368 -4.533
2.874 -0.108 4.862
Ti H Rh
2 3 2
direct
0.858 0.716 0.749 Ti
0.142 0.284 0.251 Ti
0.500 0.000 0.000 H
0.635 0.271 0.484 H
0.365 0.729 0.516 H
0.858 0.716 0.232 Rh
0.142 0.284 0.768 Rh
```

Values from the calculation:
* calculated total energy: -6.03 eV per atom
* V: 9.9 Å³ per atom

***

[13]
Computed, not measured: crystalline TiHRh3 at its relaxed geometry at the PBE level of DFT.

POSCAR file:
```
TiHRh3
1.0
3.906 0.000 0.000
0.000 3.906 0.000
0.000 0.000 3.906
H Rh Ti
1 3 1
direct
0.000 0.000 0.000 H
0.000 0.500 0.000 Rh
0.000 0.000 0.500 Rh
0.500 0.000 0.000 Rh
0.500 0.500 0.500 Ti
```

Values from the calculation:
* relative energy among the computed polymorphs: 0.000 eV/atom
* V: 11.9 Å³ per atom

***

[14]
Computed, not measured: crystalline TiH2Rh2 at its relaxed geometry at the PBE level of DFT.

POSCAR file:
```
TiH2Rh2
1.0
-2.947 0.983 -0.477
0.182 -0.911 -3.002
-3.135 -4.588 -0.443
H Rh Ti
2 2 1
direct
0.750 0.250 0.500 H
0.250 0.750 0.500 H
0.359 0.359 0.282 Rh
0.641 0.641 0.718 Rh
0.000 0.000 0.000 Ti
```

Values from the calculation:
* relative energy among the computed polymorphs: 0.000 eV/atom
* V: 10.1 Å³ per atom

***

[15]
Computed, not measured: crystalline TiHRh3 at its relaxed geometry at the PBE level of DFT.

POSCAR file:
```
TiHRh3
1.0
-5.584 -7.891 11.602
-5.043 -3.097 2.588
4.792 0.829 -4.251
H Rh Ti
2 6 2
direct
0.670 0.889 0.111 H
0.330 0.111 0.889 H
0.809 0.189 0.811 Rh
0.191 0.811 0.189 Rh
0.025 0.319 0.681 Rh
0.975 0.681 0.319 Rh
0.596 0.576 0.424 Rh
0.404 0.424 0.576 Rh
0.743 0.075 0.925 Ti
0.257 0.925 0.075 Ti
```

Values from the calculation:
* relative energy among the computed polymorphs: 0.372 eV/atom
* V: 13.3 Å³ per atom

***

[16]
Computed, not measured: crystalline TiH8Rh6 at its relaxed geometry at the PBE level of DFT.

POSCAR file:
```
TiH8Rh6
1.0
-1.593 3.901 -3.417
-4.595 -0.578 -2.824
-4.578 3.276 1.568
Ti H Rh
1 8 6
direct
0.000 0.000 0.000 Ti
0.639 0.137 0.357 H
0.863 0.133 0.643 H
0.133 0.361 0.643 H
0.640 0.640 0.080 H
0.360 0.360 0.920 H
0.867 0.639 0.357 H
0.137 0.867 0.357 H
0.361 0.863 0.643 H
0.490 0.081 0.739 Rh
0.919 0.310 0.261 Rh
0.310 0.510 0.261 Rh
0.690 0.490 0.739 Rh
0.081 0.690 0.739 Rh
0.510 0.919 0.261 Rh
```

Values from the calculation:
* calculated total energy: -5.27 eV per atom
* V: 8.4 Å³ per atom

***

[17]
Computed, not measured: crystalline TiHRh3 at its relaxed geometry at the PBE level of DFT.

POSCAR file:
```
TiHRh3
1.0
5.574 0.002 0.002
2.735 4.799 0.000
-0.044 0.025 4.458
H Rh Ti
2 6 2
direct
0.002 0.117 0.822 H
0.002 0.617 0.322 H
0.337 0.450 0.577 Rh
0.832 0.952 0.570 Rh
0.666 0.785 0.067 Rh
0.832 0.452 0.570 Rh
0.171 0.283 0.073 Rh
0.171 0.783 0.073 Rh
0.353 0.942 0.557 Ti
0.650 0.293 0.086 Ti
```

Values from the calculation:
* relative energy among the computed polymorphs: 0.045 eV/atom
* V: 11.9 Å³ per atom

***

[18]
Computed, not measured: crystalline TiHRh3 at its relaxed geometry at the PBE level of DFT.

POSCAR file:
```
TiHRh3
1.0
-2.720 -6.610 1.300
-0.584 -2.409 6.829
-6.553 -0.695 3.058
H Rh Ti
4 12 4
direct
0.125 0.125 0.125 H
0.125 0.625 0.125 H
0.625 0.125 0.125 H
0.125 0.125 0.625 H
0.803 0.197 0.197 Rh
0.053 0.447 0.447 Rh
0.447 0.447 0.053 Rh
0.447 0.053 0.053 Rh
0.053 0.447 0.053 Rh
0.803 0.197 0.803 Rh
0.447 0.053 0.447 Rh
0.053 0.053 0.447 Rh
0.197 0.803 0.197 Rh
0.197 0.803 0.803 Rh
0.197 0.197 0.803 Rh
0.803 0.803 0.197 Rh
0.625 0.625 0.625 Ti
0.625 0.125 0.625 Ti
0.125 0.625 0.625 Ti
0.625 0.625 0.125 Ti
```

Values from the calculation:
* relative energy among the computed polymorphs: 0.398 eV/atom
* V: 13.6 Å³ per atom

***

[19]
Computed, not measured: crystalline TiHRh at its relaxed geometry at the PBE level of DFT.

POSCAR file:
```
TiHRh
1.0
2.946 -0.012 -0.297
1.469 2.554 -0.294
-0.518 -0.306 9.197
H Rh Ti
2 2 2
direct
0.200 0.201 0.090 H
0.800 0.799 0.910 H
0.886 0.887 0.151 Rh
0.114 0.113 0.849 Rh
0.295 0.295 0.378 Ti
0.705 0.705 0.622 Ti
```

Values from the calculation:
* relative energy among the computed polymorphs: 0.248 eV/atom
* V: 11.5 Å³ per atom

***

[20]
Computed, not measured: crystalline TiHRh3 at its relaxed geometry at the PBE level of DFT.

POSCAR file:
```
TiHRh3
1.0
-1.841 -2.219 3.396
1.472 -4.826 -2.288
3.437 2.492 3.559
H Rh Ti
2 6 2
direct
0.244 0.579 0.184 H
0.744 0.079 0.685 H
0.494 0.244 0.020 Rh
0.498 0.752 0.020 Rh
0.994 0.914 0.350 Rh
0.489 0.244 0.512 Rh
0.999 0.914 0.858 Rh
0.989 0.406 0.349 Rh
0.994 0.424 0.840 Ti
0.494 0.734 0.530 Ti
```

Values from the calculation:
* relative energy among the computed polymorphs: 0.048 eV/atom
* V: 11.9 Å³ per atom

***

[21]
Computed, not measured: crystalline TiH3Rh2 at its relaxed geometry at the PBE level of DFT.

POSCAR file:
```
TiH3Rh2
1.0
-1.031 2.959 -2.448
-3.685 -3.568 -2.761
-6.331 2.312 5.460
Ti H Rh
4 12 8
direct
0.250 0.850 0.088 Ti
0.250 0.350 0.412 Ti
0.750 0.650 0.588 Ti
0.750 0.150 0.912 Ti
0.250 0.616 0.556 H
0.250 0.116 0.944 H
0.250 0.611 0.900 H
0.250 0.111 0.600 H
0.250 0.587 0.240 H
0.250 0.087 0.260 H
0.750 0.913 0.740 H
0.750 0.413 0.760 H
0.750 0.889 0.400 H
0.750 0.389 0.100 H
0.750 0.884 0.056 H
0.750 0.384 0.444 H
0.250 0.882 0.765 Rh
0.250 0.382 0.735 Rh
0.250 0.869 0.416 Rh
0.250 0.369 0.084 Rh
0.750 0.631 0.916 Rh
0.750 0.131 0.584 Rh
0.750 0.618 0.265 Rh
0.750 0.118 0.235 Rh
```

Values from the calculation:
* calculated total energy: -5.78 eV per atom
* V: 8.4 Å³ per atom

***

[22]
Computed, not measured: crystalline Ti3HRh4 at its relaxed geometry at the PBE level of DFT.

POSCAR file:
```
Ti3HRh4
1.0
3.094 0.000 0.000
0.000 3.094 0.000
0.000 0.000 11.494
Ti H Rh
3 1 4
direct
0.500 0.500 0.226 Ti
0.500 0.500 0.500 Ti
0.500 0.500 0.774 Ti
0.500 0.500 0.000 H
0.000 0.000 0.888 Rh
0.000 0.000 0.112 Rh
0.000 0.000 0.368 Rh
0.000 0.000 0.632 Rh
```

Values from the calculation:
* calculated total energy: -7.57 eV per atom
* V: 13.7 Å³ per atom

***

[23]
Computed, not measured: crystalline TiHRh3 at its relaxed geometry at the PBE level of DFT.

POSCAR file:
```
TiHRh3
1.0
1.867 3.042 2.430
-4.124 0.429 -1.206
-2.262 -3.730 6.409
H Rh Ti
2 6 2
direct
0.000 0.000 0.000 H
0.000 0.000 0.500 H
0.000 0.000 0.250 Rh
0.000 0.000 0.750 Rh
0.333 0.667 0.071 Rh
0.333 0.667 0.429 Rh
0.667 0.333 0.571 Rh
0.667 0.333 0.929 Rh
0.333 0.667 0.750 Ti
0.667 0.333 0.250 Ti
```

Values from the calculation:
* relative energy among the computed polymorphs: 0.383 eV/atom
* V: 12.5 Å³ per atom